# 1
The following is a DFT calculation (PBE-GGA) of a relaxed structure of Pm5NdGa2.

a = 4.384 Å, b = 7.766 Å, c = 7.766 Å
α = 78.66°, β = 73.61°, γ = 73.61°
Fractional coordinates of all 8 atoms:
1 Pm 0.000 0.500 0.500
2 Pm 0.651 0.549 0.149
3 Pm 0.349 0.451 0.851
4 Pm 0.349 0.851 0.451
5 Pm 0.651 0.149 0.549
6 Nd 0.000 0.000 0.000
7 Ga 0.717 0.783 0.783
8 Ga 0.283 0.217 0.217

Summary:
The value obtained for the mass density is 6.94 g/cm³. As for the space-group type: Immm. The value obtained for the energy relative to the elements is -0.1691 eV/atom. The calculation puts the total energy at -4.49 eV per atom.


# 2
The following is a DFT calculation (PBE-GGA) of a relaxed structure of Ce4CoRu.

a = 3.728 Å, b = 5.919 Å, c = 13.070 Å
α = 92.17°, β = 98.20°, γ = 74.63°
Fractional coordinates of all 12 atoms:
1 Ce 0.890 0.095 0.907
2 Ce 0.983 0.595 0.093
3 Ce 0.579 0.672 0.830
4 Ce 0.749 0.172 0.170
5 Ce 0.506 0.725 0.297
6 Ce 0.208 0.225 0.703
7 Ce 0.851 0.122 0.444
8 Ce 0.407 0.622 0.556
9 Co 0.418 0.933 0.057
10 Co 0.361 0.433 0.943
11 Ru 0.853 0.886 0.657
12 Ru 0.196 0.386 0.343

Summary:
The value obtained for the mass density is 8.69 g/cm³. As for the space-group type: Cc. The value obtained for the energy relative to the elements is -0.1541 eV/atom. The calculation puts the total energy at -6.84 eV per atom.


# 3
The following is a DFT calculation (PBE-GGA) of a relaxed structure of Ba2MoP.

a = 6.403 Å, b = 6.403 Å, c = 6.403 Å
α = 136.21°, β = 136.21°, γ = 63.66°
Fractional coordinates of all 4 atoms:
1 Ba 0.000 0.000 0.000
2 Ba 0.250 0.750 0.500
3 Mo 0.500 0.500 0.000
4 P 0.750 0.250 0.500

Summary:
The value obtained for the mass density is 5.37 g/cm³. As for the space-group type: I-4m2. The value obtained for the energy relative to the elements is 0.5953 eV/atom. The calculation puts the total energy at -4.43 eV per atom.